The following is a DFT calculation (PBE-GGA) of a relaxed structure of RbMg3Nb.

Cell: 5.268 5.268 5.268 Å, 90.00 90.00 90.00°
Fractional coordinates of all 5 atoms:
Rb  0.000  0.000  0.000
Mg  0.000  0.000  0.500
Mg  0.000  0.500  0.000
Mg  0.500  0.000  0.000
Nb  0.500  0.500  0.500

Values from the calculation:
Theoretical density, g/cm³: 2.85
DFT formation energy, kJ/mol of atoms: 186.6
E, Ry per atom: -0.0904